Crystalline Ti8FeSb2 at its relaxed geometry, computed with GGA-PBE.

Lattice parameters (Å, degrees): 15.480 4.629 5.636 90.00 106.52 90.00
Space group C2/m (No. 12)
One atom of each set of equivalent atoms:
Ti  0.013  0.000  0.251 x4
Ti  0.088  0.500  0.748 x4
Ti  0.138  0.500  0.298 x4
Ti  0.221  0.000  0.135 x4
Fe  0.000  0.500  0.000 x2
Sb  0.172  0.000  0.623 x4

Properties
energy relative to the elements, uncorrected = -188 meV per atom